NaVCdCl6 PBE-GGA relaxed; V = 25.412 A^3/atom; uncorrected energy = -3.79 eV/atom; crystal system = trigonal; symmetry = P-31c, No. 163
1.0
6.566 0.000 0.000
-3.283 5.686 0.000
0.000 0.000 12.253
Na V Cd Cl
2 2 2 12
Cartesian
0.000 0.000 0.000
0.000 0.000 6.126
0.000 3.791 3.063
3.283 1.895 9.190
0.000 3.791 9.190
3.283 1.895 3.063
-1.031 2.133 1.670
-1.951 3.727 4.456
1.031 2.133 4.456
-0.920 5.512 1.670
2.363 0.174 7.797
1.332 1.959 10.583
1.951 3.727 1.670
0.920 5.512 4.456
4.203 0.174 10.583
2.252 3.553 7.797
5.233 1.959 7.797
4.313 3.553 10.583


NaYCd2Cl8 PBE-GGA relaxed; V = 26.952 A^3/atom; uncorrected energy = -3.61 eV/atom; crystal system = monoclinic; symmetry = P2/m, No. 10
1.0
6.178 0.000 0.000
0.000 8.095 0.000
-0.016 0.000 6.467
Na Y Cd Cl
1 1 2 8
Cartesian
0.000 0.000 0.000
0.000 4.047 0.000
3.081 1.954 3.234
3.081 6.140 3.234
1.430 2.131 1.109
1.430 5.963 1.109
1.676 4.047 4.327
1.685 0.000 4.254
4.478 0.000 2.213
4.487 4.047 2.140
4.733 2.131 5.358
4.733 5.963 5.358


NbCdCl3 PBE-GGA relaxed; V = 27.454 A^3/atom; uncorrected energy = -3.16 eV/atom; crystal system = cubic; symmetry = Pm-3m, No. 221
1.0
5.159 0.000 0.000
0.000 5.159 0.000
0.000 0.000 5.159
Nb Cd Cl
1 1 3
Cartesian
0.000 0.000 0.000
2.579 2.579 2.579
0.000 2.579 2.579
2.579 0.000 2.579
2.579 2.579 0.000


NbCd2Cl PBE-GGA relaxed; V = 23.669 A^3/atom; uncorrected energy = -3.02 eV/atom; crystal system = tetragonal; symmetry = I-42d, No. 122
1.0
-4.123 4.123 2.785
4.123 -4.123 2.785
4.123 4.123 -2.785
Nb Cd Cl
2 4 2
Cartesian
0.000 0.000 0.000
0.000 4.123 1.393
2.061 2.062 -0.696
6.183 2.061 0.696
2.061 2.060 2.089
-2.060 2.061 3.482
4.123 0.000 1.393
0.000 0.000 2.785


NbCdCl2 PBE-GGA relaxed; V = 19.155 A^3/atom; uncorrected energy = -3.44 eV/atom; crystal system = cubic; symmetry = Fm-3m, No. 225
1.0
0.000 3.371 3.371
3.371 0.000 3.371
3.371 3.371 0.000
Nb Cd Cl
1 1 2
Cartesian
0.000 0.000 0.000
3.371 3.371 3.371
1.686 1.686 1.686
5.057 5.057 5.057


Nb2Cd2Cl7 PBE-GGA relaxed; V = 27.902 A^3/atom; uncorrected energy = -4.09 eV/atom; crystal system = monoclinic; symmetry = C2/c, No. 15
1.0
3.050 -5.295 0.000
3.050 5.295 0.000
-1.256 0.000 19.005
Nb Cd Cl
4 4 14
Cartesian
2.052 3.364 9.513
2.163 3.364 18.995
2.680 -3.364 0.011
2.791 -3.364 9.492
0.112 1.360 15.065
0.740 -1.360 5.562
4.104 1.360 13.443
4.732 -1.360 3.941
0.701 1.768 17.630
1.439 1.770 7.778
0.891 0.047 1.423
0.263 -0.047 10.925
1.329 -1.768 8.127
0.811 -1.770 17.280
2.736 0.036 4.751
2.108 -0.036 14.254
4.033 1.770 1.725
3.514 1.768 10.878
4.580 0.047 8.080
3.952 -0.047 17.583
3.405 -1.770 11.228
4.142 -1.768 1.375


NbCdCl3 PBE-GGA relaxed; V = 24.785 A^3/atom; uncorrected energy = -3.86 eV/atom; crystal system = cubic; symmetry = Pm-3m, No. 221
1.0
4.986 0.000 0.000
0.000 4.986 0.000
0.000 0.000 4.986
Nb Cd Cl
1 1 3
Cartesian
0.000 0.000 0.000
2.493 2.493 2.493
0.000 0.000 2.493
0.000 2.493 0.000
2.493 0.000 0.000


Nb4CdCl7 PBE-GGA relaxed; V = 23.375 A^3/atom; uncorrected energy = -5.04 eV/atom; crystal system = orthorhombic; symmetry = Pmn2_1, No. 31
1.0
15.822 0.000 0.000
0.000 5.990 0.000
0.000 0.000 5.919
Nb Cd Cl
8 2 14
Cartesian
2.370 1.497 0.000
3.773 3.565 5.427
4.138 2.425 2.468
5.540 4.493 2.960
10.281 4.493 2.960
11.684 2.425 2.468
12.049 3.565 5.427
13.451 1.497 0.000
0.000 4.981 1.883
7.911 1.009 4.843
0.000 2.182 5.267
1.658 1.986 2.267
1.981 5.165 4.760
3.373 4.783 1.732
4.537 1.207 4.692
5.930 0.825 1.800
6.253 4.004 5.227
7.911 3.808 2.308
9.569 4.004 5.227
9.892 0.825 1.800
11.284 1.207 4.692
12.448 4.783 1.732
13.841 5.165 4.760
14.164 1.986 2.267


NbCdCl4 PBE-GGA relaxed; V = 31.903 A^3/atom; uncorrected energy = -4.05 eV/atom; crystal system = monoclinic; symmetry = C2/c, No. 15
1.0
6.430 -5.312 0.000
6.430 5.312 0.000
-0.748 0.000 5.604
Nb Cd Cl
2 2 8
Cartesian
5.869 4.530 4.203
6.243 -4.530 1.401
5.869 0.460 4.203
6.243 -0.460 1.401
1.074 0.936 3.552
4.345 2.766 4.894
1.449 -0.936 0.750
7.393 2.766 3.512
4.719 -2.766 2.092
10.663 0.936 4.855
7.767 -2.766 0.710
11.037 -0.936 2.052


Nb2CdCl PBE-GGA relaxed; V = 18.283 A^3/atom; uncorrected energy = -5.13 eV/atom; crystal system = cubic; symmetry = Fm-3m, No. 225
1.0
0.000 3.319 3.319
3.319 0.000 3.319
3.319 3.319 0.000
Nb Cd Cl
2 1 1
Cartesian
1.660 1.660 1.660
4.979 4.979 4.979
0.000 0.000 0.000
3.319 3.319 3.319


NbCdCl2 PBE-GGA relaxed; V = 22.893 A^3/atom; uncorrected energy = -4.34 eV/atom; crystal system = trigonal; symmetry = R-3m, No. 166
1.0
1.586 0.915 10.514
-1.586 0.915 10.514
0.000 -1.831 10.514
Nb Cd Cl
1 1 2
Cartesian
0.000 0.000 0.000
0.000 0.000 15.772
0.000 0.000 12.303
0.000 0.000 19.240


Nb3Cd2Cl9 PBE-GGA relaxed; V = 25.109 A^3/atom; uncorrected energy = -4.50 eV/atom; crystal system = monoclinic; symmetry = C2/m, No. 12
1.0
4.777 -8.233 0.000
4.777 8.233 0.000
-3.451 0.000 8.937
Nb Cd Cl
6 4 18
Cartesian
-0.913 1.460 5.693
0.004 0.000 3.311
-0.913 -1.460 5.693
7.017 1.460 3.244
6.100 0.000 5.627
7.017 -1.460 3.244
3.078 2.663 1.375
3.026 2.663 7.562
3.078 -2.663 1.375
3.026 -2.663 7.562
4.119 6.512 1.666
1.985 6.512 7.271
0.156 3.346 7.343
1.257 1.739 4.544
3.052 4.782 4.469
2.265 0.000 1.810
0.203 0.000 7.341
1.257 -1.739 4.544
5.948 3.346 1.594
0.156 -3.346 7.343
4.847 1.739 4.394
5.901 0.000 1.596
3.839 0.000 7.128
3.052 -4.782 4.469
4.847 -1.739 4.394
5.948 -3.346 1.594
4.119 -6.512 1.666
1.985 -6.512 7.271


NbCdCl2 PBE-GGA relaxed; V = 27.887 A^3/atom; uncorrected energy = -3.93 eV/atom; crystal system = tetragonal; symmetry = I-42d, No. 122
1.0
-4.339 4.339 2.963
4.339 -4.339 2.963
4.339 4.339 -2.963
Nb Cd Cl
2 2 4
Cartesian
0.000 0.000 0.000
0.000 4.339 1.481
4.339 0.000 1.481
0.000 0.000 2.963
-1.025 2.169 0.741
2.169 3.314 2.222
1.025 6.508 0.741
-2.169 5.364 2.222


NbCd2Cl PBE-GGA relaxed; V = 23.693 A^3/atom; uncorrected energy = -2.74 eV/atom; crystal system = cubic; symmetry = Fm-3m, No. 225
1.0
0.000 3.619 3.619
3.619 0.000 3.619
3.619 3.619 0.000
Nb Cd Cl
1 2 1
Cartesian
0.000 0.000 0.000
1.809 1.809 1.809
5.428 5.428 5.428
3.619 3.619 3.619


Nb2CdCl PBE-GGA relaxed; V = 20.586 A^3/atom; uncorrected energy = -5.21 eV/atom; crystal system = tetragonal; symmetry = I-42d, No. 122
1.0
-1.992 1.992 10.381
1.992 -1.992 10.381
1.992 1.992 -10.381
Nb Cd Cl
4 2 2
Cartesian
2.987 0.972 -2.595
0.972 0.996 2.595
-0.996 1.019 7.786
1.019 0.996 12.976
0.000 0.000 0.000
0.000 1.992 5.191
1.992 0.000 5.191
0.000 0.000 10.381


NbCdPCl2 PBE-GGA relaxed; V = 23.899 A^3/atom; uncorrected energy = -4.30 eV/atom; crystal system = tetragonal; symmetry = P4/mmm, No. 123
1.0
4.883 0.000 0.000
0.000 4.883 0.000
0.000 0.000 5.011
Nb Cd P Cl
1 1 1 2
Cartesian
0.000 0.000 0.000
2.442 2.442 2.506
0.000 0.000 2.506
0.000 2.442 0.000
2.442 0.000 0.000


NbCdPCl2 PBE-GGA relaxed; V = 25.724 A^3/atom; uncorrected energy = -3.33 eV/atom; crystal system = tetragonal; symmetry = P4/mmm, No. 123
1.0
4.908 0.000 0.000
0.000 4.908 0.000
0.000 0.000 5.339
Nb Cd P Cl
1 1 1 2
Cartesian
0.000 0.000 0.000
2.454 2.454 2.669
2.454 2.454 0.000
0.000 2.454 2.669
2.454 0.000 2.669


NbCdSCl2 PBE-GGA relaxed; V = 23.952 A^3/atom; uncorrected energy = -4.29 eV/atom; crystal system = tetragonal; symmetry = P4/mmm, No. 123
1.0
4.983 0.000 0.000
0.000 4.983 0.000
0.000 0.000 4.823
Nb Cd S Cl
1 1 1 2
Cartesian
0.000 0.000 0.000
2.491 2.491 2.412
0.000 0.000 2.412
0.000 2.491 0.000
2.491 0.000 0.000


NbCdSCl2 PBE-GGA relaxed; V = 25.989 A^3/atom; uncorrected energy = -3.42 eV/atom; crystal system = tetragonal; symmetry = P4/mmm, No. 123
1.0
4.954 0.000 0.000
0.000 4.954 0.000
0.000 0.000 5.296
Nb Cd S Cl
1 1 1 2
Cartesian
0.000 0.000 0.000
2.477 2.477 2.648
2.477 2.477 0.000
0.000 2.477 2.648
2.477 0.000 2.648


TaNbCdCl2 PBE-GGA relaxed; V = 26.052 A^3/atom; uncorrected energy = -4.43 eV/atom; crystal system = tetragonal; symmetry = P4/mmm, No. 123
1.0
4.648 0.000 0.000
0.000 4.648 0.000
0.000 0.000 6.030
Ta Nb Cd Cl
1 1 1 2
Cartesian
0.000 0.000 0.000
2.324 2.324 3.015
2.324 2.324 0.000
0.000 2.324 3.015
2.324 0.000 3.015


Nd3CdCl PBE-GGA relaxed; V = 30.782 A^3/atom; uncorrected energy = -3.93 eV/atom; crystal system = cubic; symmetry = Pm-3m, No. 221
1.0
5.359 0.000 0.000
0.000 5.359 0.000
0.000 0.000 5.359
Nd Cd Cl
3 1 1
Cartesian
0.000 0.000 2.680
0.000 2.680 0.000
2.680 0.000 0.000
2.680 2.680 2.680
0.000 0.000 0.000


Nd2CdCl PBE-GGA relaxed; V = 28.122 A^3/atom; uncorrected energy = -3.86 eV/atom; crystal system = trigonal; symmetry = R-3m, No. 166
1.0
2.095 1.210 7.397
-2.095 1.210 7.397
0.000 -2.419 7.397
Nd Cd Cl
2 1 1
Cartesian
0.000 0.000 5.327
0.000 0.000 16.865
0.000 0.000 0.000
0.000 0.000 11.096


Nd2CdCl PBE-GGA relaxed; V = 26.230 A^3/atom; uncorrected energy = -3.82 eV/atom; crystal system = tetragonal; symmetry = P4/mmm, No. 123
1.0
3.493 0.000 0.000
0.000 3.493 0.000
0.000 0.000 8.600
Nd Cd Cl
2 1 1
Cartesian
0.000 0.000 2.129
0.000 0.000 6.471
1.746 1.746 4.300
1.746 1.746 0.000